The following is a DFT calculation (PBE-GGA) of a geometry-optimized ZrBe2Pt2 structure.

Computed properties:
- Magnetization: 0.0 μB/f.u.
- Polymorph energy (0 for the lowest one): 76 meV/atom
- Space group: I4/mmm

Lattice parameters (Å, degrees): 3.867 3.867 5.634 110.07 110.07 90.00
Atoms (fractional coordinates):
Be: 0.250 0.750 0.500
Pt: 0.368 0.368 0.736
Be: 0.750 0.250 0.500
Zr: 0.000 0.000 0.000
Pt: 0.632 0.632 0.264

The following is a DFT calculation (PBE-GGA) of a geometry-optimized TlCoMoIr structure.

Computed properties:
- Magnetization: 1.1 μB/f.u.
- Polymorph energy (0 for the lowest one): 0 meV/atom
- Space group: F-43m

Lattice parameters (Å, degrees): 4.468 4.468 4.468 60.00 60.00 60.00
Last column: magnetic moment on the atom in μB.
Atoms (fractional coordinates):
Mo: 0.500 0.500 0.500  0.35
Tl: 0.000 0.000 0.000  0.01
Ir: 0.250 0.250 0.250  -0.14
Co: 0.750 0.750 0.750  -1.52